No. 1
Material: Cs2OsCl4O2
Method: DFT, PBE
State: optimized geometry

abc: 6.0349 7.0358 7.0358
angles: 63.47 80.49 80.49
Last column: nearest neighbours and their distance in Å.
Atoms (fractional coordinates):
Cs1 0.1827 0.6700 0.6700  1 O 3.37, 6 Cl 3.58-3.63
Cs2 0.8173 0.3300 0.3300  1 O 3.37, 6 Cl 3.58-3.63
Os1 0.5000 0.0000 0.0000  2 O 1.76
Cl1 0.3143 0.6767 0.1447  1 Os 2.42
Cl2 0.6857 0.8553 0.3233  1 Os 2.42
Cl3 0.6857 0.3233 0.8553  1 Os 2.42
Cl4 0.3143 0.1447 0.6767  1 Os 2.42
O1 0.2752 0.1181 0.1181  1 Os 1.76
O2 0.7248 0.8819 0.8819  1 Os 1.76

**Fermi-level density of states**: 0.00 states/eV per atom
**Total magnetic moment**: 0.00 μB/f.u.
**Raw formation energy**: -1.30 eV per atom


No. 2
Material: HfTa
Method: DFT, PBE
State: optimized geometry

abc: 8.6357 8.6357 4.6560
angles: 90.00 90.00 90.00
Last column: nearest neighbours and their distance in Å.
Atoms (fractional coordinates):
Hf1 0.8577 0.7914 0.5000  4 Ta 2.79-3.09, 4 Hf 3.00-3.08
Hf2 0.1423 0.2086 0.5000  4 Ta 2.79-3.09, 4 Hf 3.00-3.08
Hf3 0.2086 0.8577 0.5000  4 Ta 2.79-3.09, 4 Hf 3.00-3.08
Hf4 0.7914 0.1423 0.5000  4 Ta 2.79-3.09, 4 Hf 3.00-3.08
Hf5 0.9575 0.3257 0.0000  4 Ta 2.92-3.02, 5 Hf 3.00-3.16
Hf6 0.0425 0.6743 0.0000  4 Ta 2.92-3.02, 5 Hf 3.00-3.16
Hf7 0.6743 0.9575 0.0000  4 Ta 2.92-3.02, 5 Hf 3.00-3.16
Hf8 0.3257 0.0425 0.0000  4 Ta 2.92-3.02, 5 Hf 3.00-3.16
Ta1 0.8058 0.4645 0.5000  4 Hf 2.79-2.93, 2 Ta 2.85
Ta2 0.1942 0.5355 0.5000  4 Hf 2.79-2.93, 2 Ta 2.85
Ta3 0.5355 0.8058 0.5000  4 Hf 2.79-2.93, 2 Ta 2.85
Ta4 0.4645 0.1942 0.5000  4 Hf 2.79-2.93, 2 Ta 2.85
Ta5 0.6965 0.6203 0.0000  6 Ta 2.81-3.15, 4 Hf 2.92-3.09
Ta6 0.3035 0.3797 0.0000  6 Ta 2.81-3.15, 4 Hf 2.92-3.09
Ta7 0.3797 0.6965 0.0000  6 Ta 2.81-3.15, 4 Hf 2.92-3.09
Ta8 0.6203 0.3035 0.0000  6 Ta 2.81-3.15, 4 Hf 2.92-3.09

**Fermi-level density of states**: 1.53 states/eV per atom
**ΔH_f (0 K)**: 0.4456 eV/atom
**Total magnetic moment**: 0.00 μB/f.u.